First-principles (PBE) data for crystalline BeRhBr2 at its relaxed geometry, as listed in Alexandria via LeMat-Bulk.

a b c (Å): 6.6291 6.6291 6.6291
angles (deg): 90.00 90.00 90.00
With the nearest neighbours (Å) after each atom.
Space group F-43m (No. 216)
One atom of each set of equivalent atoms:
Be  0.0000  0.0000  0.0000 x4  4 Br 2.87, 4 Rh 2.87
Rh  0.2500  0.2500  0.2500 x4  4 Br 2.87, 4 Be 2.87
Br  0.0000  0.0000  0.5000 x4  4 Br 2.87, 4 Rh 2.87
Br  0.2500  0.2500  0.7500 x4  4 Br 2.87, 4 Be 2.87

- Calculated volume: 18.207 Å³ per atom
- Calculated total energy: -42.6 eV for the cell shown
- Relative energy among the computed polymorphs: 1349.4 meV per atom
- Formation energy without anion corrections: 0.94 eV per atom
- Magnetic moment: 0.2382 μB/atom


First-principles (PBE) data for crystalline KP2Pb2O7 at its relaxed geometry, as listed in Alexandria via LeMat-Bulk.

a b c (Å): 5.6077 5.6077 23.1185
angles (deg): 90.00 90.00 120.00
With the nearest neighbours (Å) after each atom.
Space group R32 (No. 155, hexagonal axes)
One atom of each set of equivalent atoms:
K  0.0000  0.0000  0.0000 x3  6 O 2.89
P  0.0000  0.0000  0.4289 x6  4 O 1.54-1.64
Pb  0.0000  0.0000  0.1921 x6  3 O 2.43
O  0.0000  0.0000  0.5000 x3  2 P 1.64
O  0.0415  0.2828  0.4117 x18  1 P 1.54

- Calculated volume: 17.488 Å³ per atom
- Calculated total energy: -228.1 eV for the cell shown
- Formation energy without anion corrections: -1.83 eV per atom
- Magnetic moment: 0.0000 μB/atom


First-principles (PBE) data for crystalline LiZnAs3 at its relaxed geometry, as listed in Alexandria via LeMat-Bulk.

a b c (Å): 4.9078 4.9078 4.9078
angles (deg): 90.00 90.00 90.00
With the nearest neighbours (Å) after each atom.
Space group Pm-3m (No. 221)
One atom of each set of equivalent atoms:
Li  0.0000  0.0000  0.0000 x1  12 As 3.47
Zn  0.5000  0.5000  0.5000 x1  6 As 2.45
As  0.0000  0.5000  0.5000 x3  2 Zn 2.45

- Calculated volume: 23.642 Å³ per atom
- Calculated total energy: -14.9 eV for the cell shown
- Relative energy among the computed polymorphs: 0.0 meV per atom
- ΔE_f: 0.437 eV/atom
- Magnetic moment: 0.0000 μB/atom


First-principles (PBE) data for crystalline KCu2BCl at its relaxed geometry, as listed in Alexandria via LeMat-Bulk.

a b c (Å): 5.4064 5.4064 5.6387
angles (deg): 90.00 90.00 90.00
With the nearest neighbours (Å) after each atom.
Space group P4/mmm (No. 123)
One atom of each set of equivalent atoms:
K  0.0000  0.0000  0.0000 x1  4 Cu 2.70, 2 B 2.82
Cu  0.0000  0.5000  0.0000 x2  2 K 2.70
B  0.0000  0.0000  0.5000 x1  2 K 2.82
Cl  0.5000  0.5000  0.5000 x1  4 B 3.82, 8 Cu 3.91

- Calculated volume: 32.963 Å³ per atom
- Calculated total energy: -7.8 eV for the cell shown
- Formation energy without anion corrections: 2.00 eV per atom
- Magnetic moment: 0.0739 μB/atom


First-principles (PBE) data for crystalline Ho3O at its relaxed geometry, as listed in Alexandria via LeMat-Bulk.

a b c (Å): 3.2238 9.8296 5.8515
angles (deg): 90.00 90.00 90.00
With the nearest neighbours (Å) after each atom.
Space group Imm2 (No. 44)
One atom of each set of equivalent atoms:
Ho  0.0000  0.0000  0.0000 x2  2 O 2.35
Ho  0.0000  0.1687  0.5136 x4  2 O 2.58
O  0.0000  0.5000  0.2074 x2  6 Ho 2.35-2.58

- Calculated volume: 23.179 Å³ per atom
- Calculated total energy: -46.1 eV for the cell shown
- Formation energy without anion corrections: -1.09 eV per atom
- Magnetic moment: 0.0002 μB/atom


First-principles (PBE) data for crystalline K3Ta2S11 at its relaxed geometry, as listed in Alexandria via LeMat-Bulk.

a b c (Å): 7.7772 9.0142 25.3500
angles (deg): 90.00 100.17 90.00
With the nearest neighbours (Å) after each atom.
Space group P2_1/c (No. 14)
One atom of each set of equivalent atoms:
K  0.1959  0.2379  0.4917 x4  6 S 3.17-3.54
K  0.2392  0.2010  0.6859 x4  8 S 3.23-3.62
K  0.2714  0.7423  0.6720 x4  5 S 3.28-3.65
Ta  0.2291  0.6671  0.9204 x4  6 S 2.26-2.52
Ta  0.3206  0.5497  0.3296 x4  5 S 2.26-2.46
S  0.0026  0.5074  0.9131 x4  1 Ta 2.26
S  0.0281  0.5510  0.2736 x4  1 S 2.10
S  0.0688  0.5993  0.3982 x4  1 S 2.09
S  0.1169  0.1577  0.8036 x4  1 S 2.10
S  0.1722  0.6289  0.4796 x4  1 S 2.09
S  0.2557  0.6704  0.8227 x4  1 S 2.09
S  0.4171  0.5886  0.0064 x4  1 S 2.11
S  0.4437  0.5473  0.8739 x4  1 S 2.09
S  0.4685  0.0914  0.9066 x4  1 S 2.09
S  0.4809  0.1365  0.0908 x4  1 S 2.09
S  0.4950  0.5357  0.2671 x4  1 Ta 2.26

- Calculated volume: 27.332 Å³ per atom
- Calculated total energy: -344.5 eV for the cell shown
- Relative energy among the computed polymorphs: 4.1 meV per atom
- Formation energy without anion corrections: -0.86 eV per atom
- Magnetic moment: 0.0000 μB/atom


First-principles (PBE) data for crystalline Tb4Pm3Dy4 at its relaxed geometry, as listed in Alexandria via LeMat-Bulk.

a b c (Å): 3.5044 5.6630 18.2709
angles (deg): 98.90 95.50 90.00
With the nearest neighbours (Å) after each atom.
Space group P-1 (No. 2)
One atom of each set of equivalent atoms:
Tb  0.0454  0.0465  0.0915 x2  2 Dy 3.26, 3 Tb 3.29-3.50
Tb  0.1808  0.6816  0.3624 x2  5 Dy 3.25-3.53, 2 Tb 3.50
Pm  0.3634  0.8629  0.7262 x2  2 Pm 3.50, 6 Tb 3.69-3.72, 6 Dy 3.71-3.89
Pm  0.5000  0.5000  0.0000 x1  2 Pm 3.50, 4 Dy 3.71, 8 Tb 3.71-3.72
Dy  0.0910  0.5918  0.1818 x2  3 Tb 3.25-3.26, 2 Dy 3.50
Dy  0.2339  0.2338  0.4673 x2  4 Tb 3.40-3.53, 6 Dy 3.50-3.53

- Calculated volume: 32.413 Å³ per atom
- Calculated total energy: -50.6 eV for the cell shown
- Relative energy among the computed polymorphs: 0.0 meV per atom
- ΔE_f: 0.053 eV/atom
- Magnetic moment: 0.0000 μB/atom


First-principles (PBE) data for crystalline Dy3Er3Mg at its relaxed geometry, as listed in Alexandria via LeMat-Bulk.

a b c (Å): 9.3622 9.3622 5.5540
angles (deg): 90.00 90.00 120.00
With the nearest neighbours (Å) after each atom.
Space group P6_3/m (No. 176)
One atom of each set of equivalent atoms:
Dy  0.1019  0.6261  0.2500 x6  3 Mg 3.42-3.60, 5 Er 3.44-3.63, 4 Dy 3.47-3.52
Er  0.0548  0.8158  0.7500 x6  6 Er 3.44-3.52, 5 Dy 3.44-3.63, 1 Mg 3.52
Mg  0.3333  0.6667  0.7500 x2  9 Dy 3.42-3.60, 3 Er 3.52

- Calculated volume: 30.117 Å³ per atom
- Calculated total energy: -58.0 eV for the cell shown
- Relative energy among the computed polymorphs: 0.0 meV per atom
- ΔE_f: 0.014 eV/atom
- Magnetic moment: 0.0730 μB/atom